First-principles (GGA-PBEsol) data for LiRhO2 after structural relaxation, as listed in Alexandria.

Summary:
The calculation puts the uncorrected formation energy at -1243 meV/atom. For the calculated total energy, the calculation gives -6.394 eV/atom. For the size of the total moment, the calculation gives 0.000 μB per formula unit. The space-group type is Fd-3m (227).

extended XYZ file:
```
16
Lattice="-5.5908 -1.7695 1.1745 -3.4099 -2.2366 -4.3747 -1.3658 -5.8224 -0.0466" Properties=species:S:1:pos:R:3 pbc="T T T"
O -9.1535 -8.6785 -2.8669
O -3.8046 -3.6072 -1.1916
Rh -1.9787 -4.1397 -0.4292
Li -6.4791 -6.1428 -2.0293
O -7.3396 -7.4887 -0.5398
O -6.7787 -4.5485 -0.5669
O -8.4270 -5.5812 -2.8421
Rh -1.2958 -1.2286 -0.4059
O -6.1794 -7.7372 -3.4917
O -5.6185 -4.7970 -3.5188
Li -5.7962 -3.2316 -2.0060
O -4.5312 -6.7044 -1.2164
Li -4.7741 -5.0245 0.1581
Rh -4.0912 -2.1133 0.1814
Li -3.6837 -5.2581 -2.6165
Rh -3.0008 -2.3469 -2.5932
```

---

First-principles (GGA-PBEsol) data for Li2RuO3 after structural relaxation, as listed in Alexandria.

Summary:
The calculation puts the uncorrected formation energy at -1581 meV/atom. For the calculated total energy, the calculation gives -6.556 eV/atom. For the size of the total moment, the calculation gives 0.982 μB per formula unit. The space-group type is C2/m (12).

extended XYZ file:
```
12
Lattice="-1.8624 -4.3169 -1.3183 2.3609 2.4974 -3.4686 3.9853 -1.5592 2.8865" Properties=species:S:1:pos:R:3 pbc="T T T"
Li 2.9465 -0.5526 -1.3090
O 3.3019 -2.5062 -1.4569
O 0.5182 -2.8890 -2.5505
Ru 1.7306 1.4802 -3.1477
O 3.9656 -0.4897 0.6500
Ru -1.2320 -3.2998 -1.6393
Li 0.2493 -0.9098 -2.3935
O 1.9911 -0.5125 -3.3004
O 2.4927 -2.8662 1.3999
Li 1.9926 -0.7796 1.4432
O 1.1819 -0.8725 -0.4436
Li 1.5374 -2.8261 -0.5915
```

---

First-principles (GGA-PBEsol) data for Li3RuO4 after structural relaxation, as listed in Alexandria.

Summary:
The calculation puts the uncorrected formation energy at -1629 meV/atom. For the calculated total energy, the calculation gives -6.262 eV/atom. For the size of the total moment, the calculation gives 2.999 μB per formula unit. The space-group type is P2/c (13).

extended XYZ file:
```
16
Lattice="5.0332 0.0123 0.0000 -1.7339 4.7649 0.0000 0.0000 0.0000 5.8367" Properties=species:S:1:pos:R:3 pbc="T T T"
O 1.2904 3.6178 3.7276
O 3.6799 3.6909 5.1772
Li 1.2583 0.0031 3.6147
Li 2.9080 2.3916 0.7807
Li 2.9080 2.3916 3.5350
O 1.1633 3.6848 0.6594
O -0.3806 1.0862 0.6594
Ru 3.7749 0.0092 5.0066
O 2.0089 1.1593 2.1091
Li 0.3914 2.3855 2.3016
Ru 1.2583 0.0031 0.8301
O 2.1360 1.0924 5.1772
Li 3.7749 0.0092 2.2219
O 4.5255 1.1655 3.7276
O -1.2262 3.6116 2.1091
Li 0.3914 2.3855 5.0559
```

---

First-principles (GGA-PBEsol) data for Li35Ru12O48 after structural relaxation, as listed in Alexandria.

Summary:
The calculation puts the uncorrected formation energy at -1609 meV/atom. For the calculated total energy, the calculation gives -6.271 eV/atom. For the size of the total moment, the calculation gives 35.227 μB per formula unit. The space-group type is C2 (5).

extended XYZ file:
```
95
Lattice="9.6842 -0.0176 0.0138 3.5999 9.4512 0.0132 -3.5999 -2.2186 9.1872" Properties=species:S:1:pos:R:3 pbc="T T T"
Ru 11.0716 7.9538 0.1283
O 7.9140 4.7545 1.0087
O 4.2951 -1.0440 5.5664
O 1.4421 2.7932 4.4564
Li 4.4235 6.0501 3.6812
O 1.7702 -0.1599 4.8721
Ru 6.6536 5.9888 1.6585
O -0.5950 -0.2540 6.8055
O -2.6020 -0.3062 8.5278
O 8.2732 1.8155 1.1945
O 3.0592 7.4185 4.3049
Li 2.2131 5.9598 5.5870
Li 0.8165 0.2007 8.2572
O -0.5359 1.5687 8.8858
Ru 7.0440 5.0937 4.5122
Li 7.8623 -0.7020 5.1751
Ru 3.0306 0.1801 6.2249
O 5.8377 4.7064 2.9083
Li 4.4260 7.7566 5.8508
O 3.9106 -0.1226 2.7585
O 4.2377 0.5510 7.8203
O 6.2427 -0.0492 0.8539
Li 0.4234 1.2480 5.4554
Li 4.0227 7.0251 0.9365
O 7.8596 6.3815 3.2582
O 3.4715 6.4604 7.1127
O 3.4415 0.8238 0.1677
O 10.2792 6.6555 1.3738
O 8.3127 5.4548 5.8506
O 5.4464 7.4515 2.3956
O 2.2149 -1.1278 7.4458
Li 0.4212 3.0931 7.9440
Ru 7.4828 2.1112 4.7116
Li 6.6295 7.9021 4.0528
Li 2.1775 2.3275 1.0205
O 8.2420 3.6534 3.7803
Li 3.0546 2.0550 8.6494
O 6.6250 2.4141 8.2390
O 3.9050 3.5056 7.3829
O 12.2862 8.3414 1.7297
O 3.4370 4.4581 4.7880
O 6.6583 0.8179 5.9802
Ru 3.4317 -0.7470 9.0626
Li 4.8421 6.7320 8.5816
Li 2.5814 1.2763 3.5959
O 8.7390 4.5102 8.6577
Li 5.2581 3.8365 8.9325
Li 4.8421 5.0293 6.4157
Li 0.3704 -0.4115 3.3462
Ru 1.8069 7.0505 2.9598
O 3.4723 2.8428 2.5213
Ru 6.2525 8.9652 1.4276
O 0.9451 7.3305 6.4406
Li 8.8677 7.9588 2.1584
Li 5.6615 -0.7662 7.0614
Li 0.0000 5.8056 7.3851
Li 5.2572 0.2308 4.3089
Li 7.4710 4.0044 7.1242
Li 4.8421 3.1261 3.9947
Li 5.2607 2.1311 6.7620
Li 7.1028 3.1753 2.1030
O 8.6827 2.4967 6.3194
O 3.8464 1.6973 5.2738
O 8.6816 0.8449 4.1108
O 5.7736 2.6919 0.5459
Li 0.0000 4.0843 5.1955
O 8.2605 7.2456 8.3346
O 1.8246 1.6418 6.9842
Ru 2.2014 4.0623 3.1777
O 1.0014 5.5337 3.9319
Ru 7.8773 1.1939 7.5638
O 3.0259 5.6004 2.2205
O 1.3715 4.3797 6.6957
O 6.2471 3.5825 5.4764
Ru 2.6402 3.1645 6.0289
O 7.4693 7.4840 0.6758
O 5.7792 6.3289 5.1635
Li 4.4269 4.1150 1.2554
Li 7.0456 6.8226 6.6866
Li 9.3138 3.3312 0.4040
Li 9.2608 4.9890 2.5146
O 6.2127 5.3687 7.9709
O 1.4237 6.3707 9.0224
Ru -1.3874 -1.7708 7.7730
O 5.3891 5.6379 0.3135
Li 9.2629 6.9715 4.8950
Li 4.8421 1.4179 1.8217
O 1.0025 3.7775 1.8054
O 10.2200 8.2466 3.6361
Li 2.6386 4.8692 8.2223
Li 7.5067 0.4246 2.5165
O 1.4110 0.7145 2.0600
Li 0.0000 0.5299 0.6741
O 6.2118 1.7613 3.3716
Li 1.8218 5.1769 0.5535
```

---

First-principles (GGA-PBEsol) data for Sr4LiRu3O12 after structural relaxation, as listed in Alexandria.

Summary:
The calculation puts the uncorrected formation energy at -1924 meV/atom. For the calculated total energy, the calculation gives -7.066 eV/atom. For the size of the total moment, the calculation gives 2.772 μB per formula unit. The space-group type is P-1 (2).

extended XYZ file:
```
20
Lattice="5.4376 0.0017 -0.0070 0.0025 5.4733 0.0033 -0.0469 -0.0106 7.9044" Properties=species:S:1:pos:R:3 pbc="T T T"
Sr 2.6545 2.7000 6.0827
O 4.0689 4.0672 7.7743
O 1.2936 4.0524 7.8223
O 1.6024 1.6518 3.8024
Sr 0.0184 0.0028 1.8215
Li 2.7188 0.0009 -0.0035
Ru 0.0013 2.7367 0.0016
Ru 2.6954 -0.0044 3.9487
Sr 5.3748 5.4617 6.0792
O 1.3244 1.3973 0.1264
O 4.0997 1.4120 0.0784
O 2.6827 0.1432 5.8187
O 3.7908 3.8127 4.0983
O 1.0503 4.3631 4.0620
Ru -0.0222 2.7314 3.9539
O 0.0206 2.5134 5.9248
O 5.3727 2.9511 1.9759
O 2.7105 5.3212 2.0820
Sr 2.7388 2.7645 1.8180
O 4.3430 1.1014 3.8387
```

---

First-principles (GGA-PBEsol) data for LiTb2RuO6 after structural relaxation, as listed in Alexandria.

Summary:
The calculation puts the uncorrected formation energy at -2511 meV/atom. For the calculated total energy, the calculation gives -7.876 eV/atom. For the size of the total moment, the calculation gives 3.019 μB per formula unit. The space-group type is P2_1/c (14).

extended XYZ file:
```
20
Lattice="5.2243 0.0000 -0.0051 0.0000 5.6805 0.0000 -0.1075 0.0000 7.4774" Properties=species:S:1:pos:R:3 pbc="T T T"
Tb 0.0335 3.2997 5.5953
Ru 0.0000 0.0000 0.0000
Tb 2.4173 0.4595 5.6182
O 0.8064 1.6723 7.0270
O 0.9556 1.8108 4.1352
O 3.6215 1.0295 0.3940
O 3.4724 1.1680 3.2858
Li -0.0538 0.0000 3.7387
O 3.1287 2.6178 5.5766
O 4.1611 3.8698 3.3371
O 4.5464 5.4581 5.6319
O 1.4952 4.6510 7.0783
Li 2.6121 2.8403 -0.0025
Tb 2.6994 5.2211 1.8541
O 1.9880 3.0627 1.8957
O 4.3103 4.0083 0.4453
Tb 5.0832 2.3808 1.8770
O 0.5704 0.2225 1.8404
O 1.6444 4.5125 4.1865
Ru 2.5584 2.8403 3.7362
```

---

First-principles (GGA-PBEsol) data for Li2TeRuO after structural relaxation, as listed in Alexandria.

Summary:
The calculation puts the uncorrected formation energy at -248 meV/atom. For the calculated total energy, the calculation gives -4.824 eV/atom. For the size of the total moment, the calculation gives 0.003 μB per formula unit. The space-group type is P4/mmm (123).

extended XYZ file:
```
5
Lattice="3.5596 0.0000 0.0000 0.0000 5.1272 0.0000 0.0000 0.0000 5.1272" Properties=species:S:1:pos:R:3 pbc="T T T"
O 1.7798 0.0000 0.0000
Ru 0.0000 0.0000 0.0000
Li 0.0000 0.0000 2.5636
Li 0.0000 2.5636 0.0000
Te 1.7798 2.5636 2.5636
```

---

First-principles (GGA-PBEsol) data for Li2SO4 after structural relaxation, as listed in Alexandria.

Summary:
The calculation puts the uncorrected formation energy at -1908 meV/atom. For the calculated total energy, the calculation gives -6.096 eV/atom. For the size of the total moment, the calculation gives 0.000 μB per formula unit. The space-group type is Cmcm (63).

extended XYZ file:
```
14
Lattice="4.8907 -0.0083 0.0000 -1.8406 4.5312 0.0000 0.0000 0.0000 6.0965" Properties=species:S:1:pos:R:3 pbc="T T T"
O 0.9161 0.8281 4.5724
Li 3.7241 0.7785 4.5724
Li 1.5251 2.2614 3.0483
O -0.1431 3.3864 3.3712
O 0.4244 1.1597 1.5241
S -0.8517 3.8643 4.5724
O 2.1340 3.6948 1.5241
O -0.1431 3.3864 5.7736
Li -0.6739 3.7444 1.5241
Li 1.5251 2.2614 0.0000
O 3.1932 1.1365 0.3229
O 2.6258 3.3632 4.5724
S 3.9019 0.6586 1.5241
O 3.1932 1.1365 2.7253
```

---

First-principles (GGA-PBEsol) data for Li2SO4 after structural relaxation, as listed in Alexandria.

Summary:
The calculation puts the uncorrected formation energy at -1945 meV/atom. For the calculated total energy, the calculation gives -6.133 eV/atom. For the size of the total moment, the calculation gives 0.000 μB per formula unit. The space-group type is P2_1/c (14).

extended XYZ file:
```
28
Lattice="-1.0051 4.3987 -2.0244 1.1562 -3.1774 -7.4781 -8.1749 -0.9605 1.9718" Properties=species:S:1:pos:R:3 pbc="T T T"
Li -1.1226 1.0268 -4.1809
O -7.3503 0.8533 -6.5051
Li -3.2327 1.4989 -6.3608
Li -0.8925 0.9610 -8.6208
O -2.2079 0.2410 -2.7342
O -5.7490 -2.1512 -2.6029
O -0.5859 -0.0347 -5.7525
S -1.5551 -0.9077 -6.4560
O -1.3245 -0.8059 -7.9170
O -2.2748 2.4119 -4.9277
O -0.6735 -0.5925 -1.0256
O -6.6159 2.5798 -1.5044
Li -4.5728 -1.2526 -5.6334
S -6.4687 1.1684 -1.0746
O -3.9009 2.9174 -3.1910
Li -3.4510 1.5133 -1.8973
Li -4.7911 -1.2381 -1.1698
O -6.6993 1.0666 0.3864
S -1.7612 -0.9470 -1.9677
O -7.4379 0.2955 -1.7781
Li -6.9012 -0.7661 -3.3498
O -5.8159 0.0197 -4.7964
S -6.2626 1.2077 -5.5629
Li -7.1313 -0.7003 1.0902
O -2.9224 -0.4234 -6.1237
O -4.1229 -2.6567 -4.3396
O -1.4079 -2.3190 -6.0262
O -5.1014 0.6842 -1.4070
```

---

First-principles (GGA-PBEsol) data for Li2SO4 after structural relaxation, as listed in Alexandria.

Summary:
The calculation puts the uncorrected formation energy at -1672 meV/atom. For the calculated total energy, the calculation gives -5.860 eV/atom. For the size of the total moment, the calculation gives 0.000 μB per formula unit. The space-group type is F-43m (216).

extended XYZ file:
```
7
Lattice="-2.2011 2.3772 -4.3240 -4.9557 -1.4089 -1.6276 -4.1238 3.4368 0.6130" Properties=species:S:1:pos:R:3 pbc="T T T"
Li -8.4605 3.3038 -4.0039
O -4.0041 -0.2904 -1.4970
O -1.2566 0.4907 -0.5947
S 0.0000 0.0000 0.0000
O -3.5429 2.3961 -0.2549
O -2.4770 1.8087 -2.9919
Li -2.8202 1.1013 -1.3346
```

---

First-principles (GGA-PBEsol) data for LiSO2 after structural relaxation, as listed in Alexandria.

Summary:
The calculation puts the uncorrected formation energy at -1014 meV/atom. For the calculated total energy, the calculation gives -5.226 eV/atom. For the size of the total moment, the calculation gives 0.000 μB per formula unit. The space-group type is R-3m (166).

extended XYZ file:
```
4
Lattice="2.8813 0.0000 0.0000 1.4406 2.4953 0.0000 1.4406 0.8318 5.4947" Properties=species:S:1:pos:R:3 pbc="T T T"
S 0.0000 0.0000 0.0000
O 1.4406 0.8318 3.9181
Li 2.8813 1.6635 2.7473
O 4.3219 2.4953 1.5765
```

---

First-principles (GGA-PBEsol) data for Li2TiS2O after structural relaxation, as listed in Alexandria.

Summary:
The calculation puts the uncorrected formation energy at -1733 meV/atom. For the calculated total energy, the calculation gives -6.112 eV/atom. For the size of the total moment, the calculation gives 0.000 μB per formula unit. The space-group type is P2_1/c (14).

extended XYZ file:
```
24
Lattice="-1.3057 5.3191 0.0021 -4.8665 -3.8612 -1.1578 -2.4177 -0.5982 12.1566" Properties=species:S:1:pos:R:3 pbc="T T T"
Li -5.4401 -2.4650 5.8118
Ti -5.7190 -3.2615 2.7483
Li -3.1498 3.3247 5.1890
S -4.6885 3.2013 7.3661
S -2.5910 0.8627 5.2511
S -6.3223 -2.9040 10.6571
Li -1.5483 0.8999 0.4180
Li -4.5020 0.3992 3.6790
Li -7.0416 -0.0402 10.5829
Ti -2.8709 4.1212 8.2525
Ti -2.5537 1.3786 9.9396
S -4.5545 0.4133 9.9738
S -3.9013 -2.3416 3.6348
Li -5.2705 2.9890 9.9870
S -2.2676 3.7637 0.3437
Ti -6.0361 -0.5189 1.0612
Li -4.0878 0.4605 7.3218
O -1.0196 1.4986 2.3042
O -1.9524 4.0889 3.7131
Li -3.3194 -2.1293 1.0138
O -6.6375 -3.2292 7.2877
O -7.5703 -0.6389 8.6966
S -5.9989 -0.0029 5.7497
S -4.0354 0.4464 1.0270
```

---

First-principles (GGA-PBEsol) data for LiY2Ti2S2O5 after structural relaxation, as listed in Alexandria.

Summary:
The calculation puts the uncorrected formation energy at -2802 meV/atom. For the calculated total energy, the calculation gives -8.407 eV/atom. For the size of the total moment, the calculation gives 0.001 μB per formula unit. The space-group type is Immm (71).

extended XYZ file:
```
12
Lattice="3.8183 0.0000 0.0000 0.0000 3.9115 0.0000 -1.9091 -1.9558 10.9749" Properties=species:S:1:pos:R:3 pbc="T T T"
S 0.0000 0.0000 4.5065
Ti 1.9091 1.9558 9.0833
Y 0.0000 0.0000 7.3599
Ti 0.0000 0.0000 1.8916
O 1.9091 0.0000 8.9502
O 1.9091 0.0000 2.2735
O 0.0000 0.0000 0.0000
Y 1.9091 1.9558 3.6150
O 0.0000 1.9558 2.0247
O 0.0000 1.9558 8.7013
Li 0.0000 1.9558 0.0000
S 1.9091 1.9558 6.4683
```

---

First-principles (GGA-PBEsol) data for LiY4Ti4S4O10 after structural relaxation, as listed in Alexandria.

Summary:
The calculation puts the uncorrected formation energy at -2878 meV/atom. For the calculated total energy, the calculation gives -8.642 eV/atom. For the size of the total moment, the calculation gives 0.020 μB per formula unit. The space-group type is C2/m (12).

extended XYZ file:
```
23
Lattice="-0.1603 -3.9983 -3.6337 3.2977 -3.0182 3.0376 -8.8744 -6.3735 3.3843" Properties=species:S:1:pos:R:3 pbc="T T T"
O -7.0808 -5.4813 2.3235
Ti -6.6940 -9.4364 0.5524
S -1.1713 -5.0706 3.4989
Ti 0.9570 -3.9535 2.2357
O -1.7330 -2.8213 -0.8393
Y -0.5572 -6.7127 1.2853
S -4.5657 -8.3193 -0.7108
S -2.9074 -5.5352 0.1727
Ti -4.9976 -8.8746 3.8931
O -0.2223 -4.3991 0.7612
O 0.6853 -3.7122 -1.9633
Li -0.0801 -1.9991 -1.8169
Ti -0.7394 -4.5153 -1.1050
O -5.4549 -7.0018 3.8558
Y -3.6010 -10.1860 1.2212
O -0.2821 -6.3881 -1.0677
O -5.5147 -8.9908 2.0269
S -2.8296 -7.8548 2.6154
Y -2.1360 -3.2039 1.5669
O -7.3017 -7.5505 0.5899
Y -5.1798 -6.6772 1.5028
O 2.4521 -3.3043 1.3672
O -1.9539 -4.8904 -2.5729
```